(1)
Density functional theory data (PBE) for a relaxed Ba3Tl6AgPb2 crystal.

a b c (Å): 6.659 6.659 10.746
angles (deg): 90.00 90.00 120.00
Element x y z (fractional)
1 Ba 0.333 0.667 0.593
2 Ba 0.667 0.333 0.407
3 Ba 0.000 0.000 0.000
4 Tl 0.658 0.829 0.274
5 Tl 0.171 0.342 0.274
6 Tl 0.171 0.829 0.274
7 Tl 0.829 0.658 0.726
8 Tl 0.342 0.171 0.726
9 Tl 0.829 0.171 0.726
10 Ag 0.000 0.000 0.500
11 Pb 0.667 0.333 0.003
12 Pb 0.333 0.667 0.997

calculated formation energy: -0.158 eV/atom

=====

(2)
Density functional theory data (PBE) for a relaxed Ba2Tl6AgPb crystal.

a b c (Å): 7.725 7.725 14.361
angles (deg): 74.40 74.40 60.00
Element x y z (fractional)
1 Ba 0.894 0.894 0.318
2 Ba 0.106 0.106 0.682
3 Ba 0.720 0.720 0.839
4 Ba 0.280 0.280 0.161
5 Tl 0.923 0.333 0.411
6 Tl 0.333 0.923 0.411
7 Tl 0.333 0.333 0.411
8 Tl 0.077 0.667 0.589
9 Tl 0.667 0.077 0.589
10 Tl 0.667 0.667 0.589
11 Tl 0.648 0.221 0.911
12 Tl 0.221 0.648 0.911
13 Tl 0.221 0.221 0.911
14 Tl 0.352 0.779 0.089
15 Tl 0.779 0.352 0.089
16 Tl 0.779 0.779 0.089
17 Ag 0.000 0.000 0.000
18 Ag 0.500 0.500 0.500
19 Pb 0.574 0.574 0.278
20 Pb 0.426 0.426 0.722

calculated formation energy: -0.119 eV/atom

=====

Here are the calculated total magnetization numbers, same order: 0.00 0.00 (Bohr magnetons per cell).